# 1
Computed, not measured: crystalline SnAs2BrCl at its relaxed geometry at the PBE-GGA level of DFT.

Unit cell a=4.760 b=4.760 c=6.361 alpha=90.00 beta=90.00 gamma=90.00
Fractional coordinates of all 5 atoms:
Sn (0.000, 0.000, 0.000)
As (0.000, 0.500, 0.500)
As (0.500, 0.000, 0.500)
Br (0.500, 0.500, 0.000)
Cl (0.500, 0.500, 0.500)

Computed properties:
* polymorph energy (0 for the lowest one): 26.2 meV/atom
* D(E_F): 0.6669 states/eV/atom
* size of the total moment: 0.0 Bohr magnetons per cell
* space group: No. 123
* ρ: 4.42 g cm⁻³
* formation energy from raw total energies: 586 meV per atom

=====

# 2
Computed, not measured: crystalline AlCo2Pb at its relaxed geometry at the PBE-GGA level of DFT.

Unit cell a=6.778 b=6.778 c=5.070 alpha=105.64 beta=105.64 gamma=34.64
Fractional coordinates of all 8 atoms:
Al (0.000, 0.000, 0.000)
Al (0.589, 0.589, 0.380)
Co (0.151, 0.151, 0.704)
Co (0.403, 0.403, 0.119)
Co (0.551, 0.551, 0.828)
Co (0.973, 0.973, 0.467)
Pb (0.335, 0.335, 0.570)
Pb (0.758, 0.758, 0.035)

Computed properties:
* formation energy from the elements: 0.047 eV/atom
* polymorph energy (0 for the lowest one): 83.5 meV/atom
* D(E_F): 1.1926 states/eV/atom
* size of the total moment: 2.8 Bohr magnetons per cell
* space group: No. 8
* ρ: 9.21 g cm⁻³

=====

# 3
Computed, not measured: crystalline Mg2Si2O7 at its relaxed geometry at the PBE-GGA level of DFT.

Unit cell a=6.596 b=6.596 c=6.596 alpha=60.00 beta=60.00 gamma=60.00
Fractional coordinates of all 22 atoms:
Mg (0.000, 0.000, 0.000)
Mg (0.000, 0.000, 0.500)
Mg (0.000, 0.500, 0.000)
Mg (0.500, 0.000, 0.000)
Si (0.000, 0.500, 0.500)
Si (0.500, 0.000, 0.500)
Si (0.500, 0.500, 0.000)
Si (0.500, 0.500, 0.500)
O (0.125, 0.125, 0.125)
O (0.179, 0.179, 0.571)
O (0.179, 0.571, 0.179)
O (0.179, 0.571, 0.571)
O (0.429, 0.429, 0.821)
O (0.429, 0.821, 0.429)
O (0.429, 0.821, 0.821)
O (0.571, 0.179, 0.179)
O (0.571, 0.179, 0.571)
O (0.571, 0.571, 0.179)
O (0.821, 0.429, 0.429)
O (0.821, 0.429, 0.821)
O (0.821, 0.821, 0.429)
O (0.875, 0.875, 0.875)

Computed properties:
* D(E_F): 0.7504 states/eV/atom
* size of the total moment: 3.9 Bohr magnetons per cell
* space group: No. 227
* ρ: 3.55 g cm⁻³
* formation energy from raw total energies: -2271 meV per atom

=====

# 4
Computed, not measured: crystalline Pr2Cd5In3 at its relaxed geometry at the PBE-GGA level of DFT.

Unit cell a=9.531 b=9.531 c=9.531 alpha=98.99 beta=94.30 gamma=140.23
Fractional coordinates of all 20 atoms:
Pr (0.124, 0.248, 0.372)
Pr (0.376, 0.748, 0.123)
Pr (0.624, 0.252, 0.877)
Pr (0.876, 0.752, 0.628)
Cd (0.003, 0.750, 0.253)
Cd (0.129, 0.862, 0.991)
Cd (0.250, 0.750, 0.500)
Cd (0.371, 0.362, 0.733)
Cd (0.497, 0.750, 0.747)
Cd (0.503, 0.250, 0.253)
Cd (0.629, 0.638, 0.267)
Cd (0.750, 0.250, 0.500)
Cd (0.871, 0.138, 0.009)
Cd (0.997, 0.250, 0.747)
In (0.125, 0.644, 0.769)
In (0.250, 0.250, 0.000)
In (0.375, 0.144, 0.519)
In (0.625, 0.856, 0.481)
In (0.750, 0.750, 0.000)
In (0.875, 0.356, 0.231)

Computed properties:
* formation energy from the elements: -0.265 eV/atom
* D(E_F): 0.5320 states/eV/atom
* size of the total moment: 0.0 Bohr magnetons per cell
* space group: No. 72
* ρ: 7.59 g cm⁻³

=====

# 5
Computed, not measured: crystalline VZnSiPt2 at its relaxed geometry at the PBE-GGA level of DFT.

Unit cell a=4.641 b=4.641 c=4.693 alpha=90.00 beta=90.00 gamma=90.00
Fractional coordinates of all 5 atoms:
V (0.000, 0.000, 0.000)
Zn (0.000, 0.000, 0.500)
Si (0.500, 0.500, 0.500)
Pt (0.000, 0.500, 0.000)
Pt (0.500, 0.000, 0.000)

Computed properties:
* D(E_F): 0.9672 states/eV/atom
* size of the total moment: 0.5 Bohr magnetons per cell
* space group: No. 123
* ρ: 8.78 g cm⁻³
* formation energy from raw total energies: 915 meV per atom

=====

# 6
Computed, not measured: crystalline SnSb12Os4 at its relaxed geometry at the PBE-GGA level of DFT.

Unit cell a=8.188 b=8.188 c=8.188 alpha=109.47 beta=109.47 gamma=109.47
Fractional coordinates of all 17 atoms:
Sn (0.000, 0.000, 0.000)
Sb (0.155, 0.334, 0.489)
Sb (0.155, 0.666, 0.822)
Sb (0.178, 0.845, 0.334)
Sb (0.334, 0.178, 0.845)
Sb (0.334, 0.489, 0.155)
Sb (0.489, 0.155, 0.334)
Sb (0.511, 0.845, 0.666)
Sb (0.666, 0.511, 0.845)
Sb (0.666, 0.822, 0.155)
Sb (0.822, 0.155, 0.666)
Sb (0.845, 0.334, 0.178)
Sb (0.845, 0.666, 0.511)
Os (0.000, 0.000, 0.500)
Os (0.000, 0.500, 0.000)
Os (0.500, 0.000, 0.000)
Os (0.500, 0.500, 0.500)

Computed properties:
* D(E_F): 1.0191 states/eV/atom
* size of the total moment: 0.0 Bohr magnetons per cell
* space group: No. 204
* ρ: 9.20 g cm⁻³
* formation energy from raw total energies: 37 meV per atom

=====

# 7
Computed, not measured: crystalline GdLuAgIr at its relaxed geometry at the PBE-GGA level of DFT.

Unit cell a=4.949 b=4.949 c=4.949 alpha=60.00 beta=60.00 gamma=60.00
Fractional coordinates of all 4 atoms:
Gd (0.000, 0.000, 0.000)
Lu (0.500, 0.500, 0.500)
Ag (0.250, 0.250, 0.250)
Ir (0.750, 0.750, 0.750)

Computed properties:
* formation energy from the elements: -0.601 eV/atom
* D(E_F): 0.6511 states/eV/atom
* size of the total moment: 7.2 Bohr magnetons per cell
* space group: No. 216
* ρ: 12.25 g cm⁻³

=====

# 8
Computed, not measured: crystalline LaNdPd at its relaxed geometry at the PBE-GGA level of DFT.

Unit cell a=3.679 b=6.853 c=7.346 alpha=74.86 beta=89.96 gamma=74.51
Fractional coordinates of all 6 atoms:
La (0.144, 0.211, 0.082)
La (0.856, 0.789, 0.918)
Nd (0.132, 0.238, 0.563)
Nd (0.868, 0.762, 0.437)
Pd (0.489, 0.521, 0.229)
Pd (0.511, 0.479, 0.771)

Computed properties:
* formation energy from the elements: -0.456 eV/atom
* polymorph energy (0 for the lowest one): 80.1 meV/atom
* D(E_F): 1.2816 states/eV/atom
* size of the total moment: 0.8 Bohr magnetons per cell
* space group: No. 2
* ρ: 7.53 g cm⁻³

=====

# 9
Computed, not measured: crystalline CeDy3Ho4 at its relaxed geometry at the PBE-GGA level of DFT.

Unit cell a=11.264 b=7.200 c=6.225 alpha=90.00 beta=90.00 gamma=90.00
Fractional coordinates of all 16 atoms:
Ce (0.000, 0.124, 0.000)
Ce (0.500, 0.876, 0.500)
Dy (0.000, 0.876, 0.502)
Dy (0.250, 0.125, 0.332)
Dy (0.250, 0.875, 0.832)
Dy (0.500, 0.124, 0.002)
Dy (0.750, 0.125, 0.332)
Dy (0.750, 0.875, 0.832)
Ho (0.000, 0.374, 0.501)
Ho (0.000, 0.625, 0.999)
Ho (0.250, 0.374, 0.837)
Ho (0.250, 0.626, 0.337)
Ho (0.500, 0.375, 0.499)
Ho (0.500, 0.626, 0.001)
Ho (0.750, 0.374, 0.837)
Ho (0.750, 0.626, 0.337)

Computed properties:
* formation energy from the elements: 0.037 eV/atom
* polymorph energy (0 for the lowest one): 0.0 meV/atom
* D(E_F): 1.9341 states/eV/atom
* size of the total moment: 2.6 Bohr magnetons per cell
* space group: No. 31
* ρ: 8.47 g cm⁻³

=====

# 10
Computed, not measured: crystalline Tb3Ho3MgS8 at its relaxed geometry at the PBE-GGA level of DFT.

Unit cell a=7.784 b=7.784 c=7.784 alpha=59.84 beta=59.84 gamma=59.84
Fractional coordinates of all 15 atoms:
Tb (0.000, 0.500, 0.500)
Tb (0.500, 0.000, 0.500)
Tb (0.500, 0.500, 0.000)
Ho (0.000, 0.000, 0.500)
Ho (0.000, 0.500, 0.000)
Ho (0.500, 0.000, 0.000)
Mg (0.500, 0.500, 0.500)
S (0.249, 0.249, 0.249)
S (0.256, 0.741, 0.741)
S (0.259, 0.259, 0.744)
S (0.259, 0.744, 0.259)
S (0.741, 0.256, 0.741)
S (0.741, 0.741, 0.256)
S (0.744, 0.259, 0.259)
S (0.751, 0.751, 0.751)

Computed properties:
* D(E_F): 0.2425 states/eV/atom
* size of the total moment: 0.0 Bohr magnetons per cell
* space group: No. 166
* ρ: 6.26 g cm⁻³
* formation energy from raw total energies: -1977 meV per atom